Entry 1:
# Lu2ScIn3Pt2 PBE optimized geometry
data_Lu2ScIn3Pt2
_space_group_name_H-M_alt 'A m m 2'
_space_group_IT_number 38
_space_group_name_Hall 'A 2 -2'
_cell_length_a 3.4859
_cell_length_b 13.2108
_cell_length_c 7.5981
_cell_angle_alpha 90.00
_cell_angle_beta 90.00
_cell_angle_gamma 90.00
loop_
_atom_site_label
_atom_site_type_symbol
_atom_site_fract_x
_atom_site_fract_y
_atom_site_fract_z
Lu1 Lu 0.0000 0.2108 0.0000
Sc1 Sc 0.0000 0.0000 0.6336
In1 In 0.5000 0.0000 0.9743
In2 In 0.5000 0.1143 0.3289
Pt1 Pt 0.5000 0.1638 0.7093
# E = -85.322 eV/cell
# total magnetization = 0.009 μB/f.u.
# volume = 21.9 Å³/atom

Entry 2:
# TbLu2In3Pt2 PBE optimized geometry
data_TbLu2In3Pt2
_space_group_name_H-M_alt 'A m m 2'
_space_group_IT_number 38
_space_group_name_Hall 'A 2 -2'
_cell_length_a 3.5857
_cell_length_b 13.2914
_cell_length_c 7.6610
_cell_angle_alpha 90.00
_cell_angle_beta 90.00
_cell_angle_gamma 90.00
loop_
_atom_site_label
_atom_site_type_symbol
_atom_site_fract_x
_atom_site_fract_y
_atom_site_fract_z
Tb1 Tb 0.0000 0.0000 0.0000
Lu1 Lu 0.0000 0.2110 0.3683
In1 In 0.5000 0.0000 0.3502
In2 In 0.5000 0.1164 0.6941
Pt1 Pt 0.5000 0.1704 0.0810
# E = -82.143 eV/cell
# total magnetization = 0.021 μB/f.u.
# volume = 22.8 Å³/atom

Entry 3:
# TmLu2In3Pt2 PBE optimized geometry
data_TmLu2In3Pt2
_space_group_name_H-M_alt 'A m m 2'
_space_group_IT_number 38
_space_group_name_Hall 'A 2 -2'
_cell_length_a 3.5655
_cell_length_b 13.2315
_cell_length_c 7.6341
_cell_angle_alpha 90.00
_cell_angle_beta 90.00
_cell_angle_gamma 90.00
loop_
_atom_site_label
_atom_site_type_symbol
_atom_site_fract_x
_atom_site_fract_y
_atom_site_fract_z
Tm1 Tm 0.0000 0.0000 0.0000
Lu1 Lu 0.0000 0.2108 0.3678
In1 In 0.5000 0.0000 0.3478
In2 In 0.5000 0.1155 0.6939
Pt1 Pt 0.5000 0.1668 0.0786
# E = -81.928 eV/cell
# total magnetization = 0.018 μB/f.u.
# volume = 22.5 Å³/atom

Entry 4:
# TmLuIn2Pt4 PBE optimized geometry
data_TmLuIn2Pt4
_space_group_name_H-M_alt 'P -6 m 2'
_space_group_IT_number 187
_space_group_name_Hall 'P -6 2'
_cell_length_a 4.5590
_cell_length_b 4.5590
_cell_length_c 8.9058
_cell_angle_alpha 90.00
_cell_angle_beta 90.00
_cell_angle_gamma 120.00
loop_
_atom_site_label
_atom_site_type_symbol
_atom_site_fract_x
_atom_site_fract_y
_atom_site_fract_z
Tm1 Tm 0.0000 0.0000 0.0000
Lu1 Lu 0.6667 0.3333 0.5000
In1 In 0.3333 0.6667 0.2504
Pt1 Pt 0.0000 0.0000 0.3434
Pt2 Pt 0.6667 0.3333 0.1584
# E = -46.493 eV/cell
# total magnetization = 0.005 μB/f.u.
# volume = 20.0 Å³/atom

Entry 5:
# LuPuIn PBE optimized geometry
data_LuPuIn
_space_group_name_H-M_alt 'F -4 3 m'
_space_group_IT_number 216
_space_group_name_Hall 'F -4 2 3'
_cell_length_a 7.2880
_cell_length_b 7.2880
_cell_length_c 7.2880
_cell_angle_alpha 90.00
_cell_angle_beta 90.00
_cell_angle_gamma 90.00
loop_
_atom_site_label
_atom_site_type_symbol
_atom_site_fract_x
_atom_site_fract_y
_atom_site_fract_z
Lu1 Lu 0.0000 0.0000 0.0000
Pu1 Pu 0.0000 0.0000 0.5000
In1 In 0.2500 0.2500 0.2500
# total magnetization = 6.374 μB/f.u.
# ΔE to the lowest computed polymorph = 0.0000 eV per atom
# volume = 32.3 Å³/atom

Entry 6:
# RbLuIn PBE optimized geometry
data_RbLuIn
_space_group_name_H-M_alt 'F -4 3 m'
_space_group_IT_number 216
_space_group_name_Hall 'F -4 2 3'
_cell_length_a 7.8196
_cell_length_b 7.8196
_cell_length_c 7.8196
_cell_angle_alpha 90.00
_cell_angle_beta 90.00
_cell_angle_gamma 90.00
loop_
_atom_site_label
_atom_site_type_symbol
_atom_site_fract_x
_atom_site_fract_y
_atom_site_fract_z
Rb1 Rb 0.0000 0.0000 0.0000
Lu1 Lu 0.2500 0.2500 0.2500
In1 In 0.2500 0.2500 0.7500
# total magnetization = 0.002 μB/f.u.
# ΔE to the lowest computed polymorph = 0.4662 eV per atom
# volume = 39.8 Å³/atom

Entry 7:
# RbLuIn PBE optimized geometry
data_RbLuIn
_space_group_name_H-M_alt 'F -4 3 m'
_space_group_IT_number 216
_space_group_name_Hall 'F -4 2 3'
_cell_length_a 7.9004
_cell_length_b 7.9004
_cell_length_c 7.9004
_cell_angle_alpha 90.00
_cell_angle_beta 90.00
_cell_angle_gamma 90.00
loop_
_atom_site_label
_atom_site_type_symbol
_atom_site_fract_x
_atom_site_fract_y
_atom_site_fract_z
Rb1 Rb 0.0000 0.0000 0.0000
Lu1 Lu 0.0000 0.0000 0.5000
In1 In 0.2500 0.2500 0.7500
# total magnetization = 0.703 μB/f.u.
# ΔE to the lowest computed polymorph = 0.0000 eV per atom
# volume = 41.1 Å³/atom

Entry 8:
# LuInRe2 PBE optimized geometry
data_LuInRe2
_space_group_name_H-M_alt 'F -4 3 m'
_space_group_IT_number 216
_space_group_name_Hall 'F -4 2 3'
_cell_length_a 6.6148
_cell_length_b 6.6148
_cell_length_c 6.6148
_cell_angle_alpha 90.00
_cell_angle_beta 90.00
_cell_angle_gamma 90.00
loop_
_atom_site_label
_atom_site_type_symbol
_atom_site_fract_x
_atom_site_fract_y
_atom_site_fract_z
Lu1 Lu 0.0000 0.0000 0.0000
In1 In 0.2500 0.2500 0.7500
Re1 Re 0.0000 0.0000 0.5000
Re2 Re 0.2500 0.2500 0.2500
# E = -122.695 eV/cell
# total magnetization = 0.002 μB/f.u.
# volume = 18.1 Å³/atom

Entry 9:
# Lu2InRe PBE optimized geometry
data_Lu2InRe
_space_group_name_H-M_alt 'F -4 3 m'
_space_group_IT_number 216
_space_group_name_Hall 'F -4 2 3'
_cell_length_a 6.9395
_cell_length_b 6.9395
_cell_length_c 6.9395
_cell_angle_alpha 90.00
_cell_angle_beta 90.00
_cell_angle_gamma 90.00
loop_
_atom_site_label
_atom_site_type_symbol
_atom_site_fract_x
_atom_site_fract_y
_atom_site_fract_z
Lu1 Lu 0.0000 0.0000 0.0000
Lu2 Lu 0.2500 0.2500 0.2500
In1 In 0.0000 0.0000 0.5000
Re1 Re 0.2500 0.2500 0.7500
# E = -94.195 eV/cell
# total magnetization = 0.120 μB/f.u.
# volume = 20.9 Å³/atom

Entry 10:
# LuTlInS3 PBE optimized geometry
data_LuTlInS3
_space_group_name_H-M_alt 'C m c m'
_space_group_IT_number 63
_space_group_name_Hall '-C 2c 2'
_cell_length_a 3.9624
_cell_length_b 15.0555
_cell_length_c 10.6758
_cell_angle_alpha 90.00
_cell_angle_beta 90.00
_cell_angle_gamma 90.00
loop_
_atom_site_label
_atom_site_type_symbol
_atom_site_fract_x
_atom_site_fract_y
_atom_site_fract_z
Lu1 Lu 0.0000 0.0000 0.0000
Tl1 Tl 0.0000 0.2981 0.2500
In1 In 0.0000 0.3699 0.7500
S1 S 0.0000 0.0133 0.2500
S2 S 0.0000 0.3785 0.0033
# E = -112.653 eV/cell
# total magnetization = 0.001 μB/f.u.
# volume = 26.5 Å³/atom

Entry 11:
# LuInSb PBE optimized geometry
data_LuInSb
_space_group_name_H-M_alt 'F -4 3 m'
_space_group_IT_number 216
_space_group_name_Hall 'F -4 2 3'
_cell_length_a 7.2544
_cell_length_b 7.2544
_cell_length_c 7.2544
_cell_angle_alpha 90.00
_cell_angle_beta 90.00
_cell_angle_gamma 90.00
loop_
_atom_site_label
_atom_site_type_symbol
_atom_site_fract_x
_atom_site_fract_y
_atom_site_fract_z
Lu1 Lu 0.0000 0.0000 0.0000
In1 In 0.0000 0.0000 0.5000
Sb1 Sb 0.2500 0.2500 0.2500
# E = -46.699 eV/cell
# total magnetization = 0.016 μB/f.u.
# volume = 31.8 Å³/atom

Entry 12:
# LuInSb2 PBE optimized geometry
data_LuInSb2
_space_group_name_H-M_alt 'F -4 3 m'
_space_group_IT_number 216
_space_group_name_Hall 'F -4 2 3'
_cell_length_a 7.5603
_cell_length_b 7.5603
_cell_length_c 7.5603
_cell_angle_alpha 90.00
_cell_angle_beta 90.00
_cell_angle_gamma 90.00
loop_
_atom_site_label
_atom_site_type_symbol
_atom_site_fract_x
_atom_site_fract_y
_atom_site_fract_z
Lu1 Lu 0.0000 0.0000 0.0000
In1 In 0.2500 0.2500 0.7500
Sb1 Sb 0.0000 0.0000 0.5000
Sb2 Sb 0.2500 0.2500 0.2500
# E = -63.748 eV/cell
# total magnetization = 0.003 μB/f.u.
# volume = 27.0 Å³/atom